No. 1
DFT (PBE) results for an optimized crystal structure of Pm2PrSm5.

The structure in POSCAR format:
```
Pm2PrSm5
1.0
7.2957 0.0000 0.0000
0.0000 14.5930 0.0000
0.0000 0.0000 5.1448
Pm Pr Sm
4 2 10
Cartesian
1.8268 1.8307 0.0000
1.8211 9.1272 0.0000
5.4746 5.4658 0.0000
5.4689 12.7623 0.0000
0.0000 0.0000 2.5724
3.6479 7.2965 2.5724
0.0002 3.6601 2.5724
0.0000 7.2965 2.5724
7.2955 10.9329 2.5724
1.8212 5.4622 0.0000
1.8267 12.7587 0.0000
3.6479 0.0000 2.5724
3.6481 3.6364 2.5724
3.6476 10.9566 2.5724
5.4690 1.8343 0.0000
5.4745 9.1308 0.0000
```

## Properties
Space-group type: Pbam, No. 55
Energy above the most stable polymorph in this dataset (eV per atom): 0.003
DOS(E_F) (states/eV/f.u.): 12.42
Final energy (eV per cell): -75.52
ΔH_f (0 K) (kJ/mol of atoms): 1.4

---

No. 2
DFT (PBE) results for an optimized crystal structure of LiCoSn2As.

The structure in POSCAR format:
```
LiCoSn2As
1.0
4.8379 0.0000 0.0000
0.0000 4.8379 0.0000
0.0000 0.0000 4.5971
Li Co Sn As
1 1 2 1
Cartesian
0.0000 0.0000 0.0000
0.0000 0.0000 2.2986
0.0000 2.4189 2.2986
2.4189 0.0000 2.2986
2.4189 2.4189 0.0000
```

## Properties
Space-group type: P4/mmm, No. 123
DOS(E_F) (states/eV/f.u.): 4.41
Final energy (eV per cell): -20.87
ΔH_f (0 K) (kJ/mol of atoms): 15.6

---

No. 3
DFT (PBE) results for an optimized crystal structure of Tb2PmTl4.

The structure in POSCAR format:
```
Tb2PmTl4
1.0
-3.8298 3.8298 3.6856
3.8298 -3.8298 3.6856
3.8298 3.8298 -3.6856
Tb Pm Tl
2 1 4
Cartesian
3.8298 0.0000 0.0000
0.0000 3.8298 0.0000
0.0000 0.0000 0.0000
1.9149 1.9149 -1.8428
1.9149 -1.9149 1.8428
-1.9149 1.9149 1.8428
1.9149 1.9149 1.8428
```

## Properties
Space-group type: I4/mmm, No. 139
Energy above the most stable polymorph in this dataset (eV per atom): 0.000
DOS(E_F) (states/eV/f.u.): 6.84
Final energy (eV per cell): -25.09
ΔH_f (0 K) (kJ/mol of atoms): -22.2

---

No. 4
DFT (PBE) results for an optimized crystal structure of SnBRu2Rh.

The structure in POSCAR format:
```
SnBRu2Rh
1.0
4.1573 0.0000 0.0000
0.0000 4.1573 0.0000
0.0000 0.0000 4.0969
Sn B Ru Rh
1 1 2 1
Cartesian
0.0000 0.0000 0.0000
2.0787 2.0787 2.0484
0.0000 2.0787 2.0484
2.0787 0.0000 2.0484
2.0787 2.0787 0.0000
```

## Properties
Space-group type: P4/mmm, No. 123
DOS(E_F) (states/eV/f.u.): 2.37
Final energy (eV per cell): -37.54
ΔH_f (0 K) (kJ/mol of atoms): -18.5

---

No. 5
DFT (PBE) results for an optimized crystal structure of Y4Ge2I3.

The structure in POSCAR format:
```
Y4Ge2I3
1.0
4.2461 0.0000 0.0000
-2.1230 3.6772 0.0000
0.0000 0.0000 18.7009
Y Ge I
4 2 3
Cartesian
0.0000 0.0000 4.0749
0.0000 0.0000 14.6260
0.0000 2.4515 7.0760
2.1230 1.2257 11.6249
0.0000 2.4515 13.0459
2.1230 1.2257 5.6550
0.0000 0.0000 9.3505
0.0000 2.4515 2.0764
2.1230 1.2257 16.6245
```

## Properties
Space-group type: P-3m1, No. 164
DOS(E_F) (states/eV/f.u.): 3.06
Final energy (eV per cell): -49.86
Formation energy without anion corrections (eV/atom): -1.12

---

No. 6
DFT (PBE) results for an optimized crystal structure of Ho2Be3AlCu12.

The structure in POSCAR format:
```
Ho2Be3AlCu12
1.0
3.7525 2.1665 5.7814
-3.7525 2.1665 5.7814
0.0000 -4.3330 5.7814
Ho Be Al Cu
2 3 1 12
Cartesian
0.0000 0.0000 1.7204
0.0000 0.0000 15.6237
-1.8762 -1.0832 5.7814
-1.8762 1.0832 11.5627
0.0000 2.1665 5.7814
0.0000 0.0000 8.6720
-1.9861 -1.1467 7.9128
0.0000 -1.9018 5.3776
-1.6470 0.9509 5.3776
0.0000 -2.2934 9.4313
-1.9861 1.1467 9.4313
-1.6470 -0.9509 11.9665
1.6470 0.9509 5.3776
1.9861 -1.1467 7.9128
0.0000 2.2934 7.9128
1.6470 -0.9509 11.9665
0.0000 1.9018 11.9665
1.9861 1.1467 9.4313
```

## Properties
Space-group type: R-3m, No. 166
DOS(E_F) (states/eV/f.u.): 4.97
Final energy (eV per cell): -68.00
ΔH_f (0 K) (kJ/mol of atoms): 28.0

---

No. 7
DFT (PBE) results for an optimized crystal structure of Mg2In2S.

The structure in POSCAR format:
```
Mg2In2S
1.0
6.7240 0.0000 0.0000
0.0000 6.7240 0.0000
0.0000 0.0000 5.3391
Mg In S
4 4 2
Cartesian
1.0584 2.3036 0.0000
2.3036 5.6655 0.0000
4.4204 1.0584 0.0000
5.6655 4.4204 0.0000
1.0408 4.4028 2.6696
2.3212 1.0408 2.6696
4.4028 5.6832 2.6696
5.6832 2.3212 2.6696
0.0000 0.0000 0.0000
3.3620 3.3620 0.0000
```

## Properties
Space-group type: P4/mbm, No. 127
DOS(E_F) (states/eV/f.u.): 1.69
Final energy (eV per cell): -28.25
Formation energy without anion corrections (eV/atom): -0.27

---

No. 8
DFT (PBE) results for an optimized crystal structure of BaAlS3.

The structure in POSCAR format:
```
BaAlS3
1.0
5.9370 0.0000 0.0000
0.0000 5.9370 0.0000
0.0000 0.0000 5.9370
Ba Al S
1 1 3
Cartesian
0.0000 0.0000 0.0000
2.9685 2.9685 2.9685
0.0000 0.0000 2.9685
0.0000 2.9685 0.0000
2.9685 0.0000 0.0000
```

## Properties
Space-group type: Pm-3m, No. 221
Energy above the most stable polymorph in this dataset (eV per atom): 1.603
DOS(E_F) (states/eV/f.u.): 6.61
Final energy (eV per cell): -16.01
Formation energy without anion corrections (eV/atom): 0.41